# PuCu2O4

A relaxed structure of PuCu2O4 (PBE, Alexandria).

Cell and atoms, written as extended XYZ:
```
7
Lattice="4.4659 0.0000 0.0000 0.0000 4.4659 0.0000 0.0000 0.0000 5.1443" Properties=species:S:1:pos:R:3 pbc="T T T"
Pu 0.0000 0.0000 0.0000
Cu 0.0000 2.2330 2.5721
Cu 2.2330 0.0000 2.5721
O 1.0761 1.0761 1.3845
O 1.0761 3.3898 3.7598
O 3.3898 1.0761 3.7598
O 3.3898 3.3898 1.3845
```

Results
Volume, Å³ per atom: 14.66
Space-group type: No. 111
Uncorrected formation energy, eV/atom: -1.318
Total moment, Bohr magnetons per cell: 1.98
E_tot, eV/atom: -7.369